No. 1
Density functional theory data (GGA-PBE) for KLiTlBr5 after structural relaxation.

Summary:
- total magnetic moment (μB per atom) = 0.00
- SG = C2/c, No. 15
- formation energy (no corrections) (kJ/mol of atoms) = -101.1

a b c (Å): 8.050 8.050 9.685
angles (deg): 103.93 103.93 104.35
Positions (direct):
K 0.679 0.321 0.750
Br 0.062 0.938 0.250
Tl 0.666 0.334 0.250
Br 0.667 0.093 0.394
Br 0.262 0.358 0.538
Li 0.000 0.000 0.500
Br 0.938 0.062 0.750
K 0.321 0.679 0.250
Br 0.642 0.738 0.962
Li 0.000 0.000 0.000
Br 0.907 0.333 0.106
Br 0.738 0.642 0.462
Br 0.358 0.262 0.038
Tl 0.334 0.666 0.750
Br 0.333 0.907 0.606
Br 0.093 0.667 0.894

=====

No. 2
Density functional theory data (GGA-PBE) for V2InBiN after structural relaxation.

Summary:
- total magnetic moment (μB per atom) = 1.01
- SG = P4/mmm, No. 123
- formation energy (no corrections) (kJ/mol of atoms) = 24.8

a b c (Å): 4.193 5.231 4.193
angles (deg): 90.00 90.00 90.00
Each line ends with the local moment (μB).
Positions (direct):
In 0.000 0.500 0.000  0.01
N 0.000 0.000 0.000  -0.15
Bi 0.500 0.500 0.500  -0.08
V 0.000 0.000 0.500  2.49
V 0.500 0.000 0.000  1.90

=====

No. 3
Density functional theory data (GGA-PBE) for Ce8Te4P3S after structural relaxation.

Summary:
- total magnetic moment (μB per atom) = 0.44
- SG = R-3m, No. 166
- formation energy (no corrections) (kJ/mol of atoms) = -147.1

a b c (Å): 8.429 8.700 8.429
angles (deg): 118.98 120.00 90.00
Each line ends with the local moment (μB).
Positions (direct):
Ce 0.262 0.286 0.524  0.72
P 0.000 0.500 0.500  -0.03
P 0.500 0.500 0.500  -0.03
P 0.500 0.500 0.000  -0.03
Te 0.500 0.000 0.000  -0.02
Ce 0.762 0.287 0.025  0.77
Ce 0.738 0.714 0.476  0.72
Ce 0.238 0.713 0.975  0.77
Te 0.000 0.000 0.000  -0.02
Ce 0.737 0.713 0.975  0.77
Te 0.000 0.000 0.500  -0.02
Ce 0.263 0.287 0.025  0.77
Te 0.500 0.000 0.500  -0.02
Ce 0.238 0.714 0.477  0.77
Ce 0.762 0.286 0.523  0.77
S 0.000 0.500 0.000  -0.03

=====

What is the formula in the second record? V2InBiN

=====

Among the records above, which one has the highest total magnetic moment? V2InBiN

=====

What is the formula in the third record? Ce8Te4P3S

=====

formation energy (no corrections) of number 2 (V2InBiN)? 24.8 kJ/mol of atoms